## Sc2Si (PBE)

Data for an optimized crystal structure of Sc2Si.

Values from the calculation:
E_form (uncorrected)	-511.5	meV per atom
V	21.89	A^3/atom

Cell: 6.404 6.404 6.404 Å, 90.00 90.00 90.00°
Space group Fm-3m (No. 225)
Unique sites:
Sc 0.250 0.250 0.250
Si 0.000 0.000 0.000

***

## Sc5Si3 (PBE)

Data for an optimized crystal structure of Sc5Si3.

Values from the calculation:
excess energy over the best structure of this formula in the dataset	195	meV/atom
E_form (uncorrected)	-573.2	meV per atom
V	19.50	A^3/atom

Cell: 7.123 9.889 4.429 Å, 90.00 90.00 90.00°
Space group Cmmm (No. 65)
Unique sites:
Sc 0.000 0.000 0.000
Sc 0.204 0.500 0.500
Sc 0.250 0.250 0.000
Si 0.000 0.190 0.500
Si 0.000 0.500 0.000